The following is a DFT calculation (PBE-GGA) of a relaxed Y3TlPt8 crystal.

Values from the calculation:
Raw total energy (eV/f.u.): -80.64
ΔE_f (meV per atom): -879
Crystal system: trigonal
M_tot (μB/f.u.): 0.00
Fermi-level density of states (states/eV/atom): 0.518
SG: P3m1 (156)

Geometry as POSCAR:
```
Y3TlPt8
1.0
5.455 0.000 0.000
-2.727 4.724 0.000
0.000 0.000 8.889
Tl Pt Y
1 8 3
Direct
0.000 0.000 0.550 Tl
0.164 0.836 0.248 Pt
0.164 0.328 0.248 Pt
0.996 0.498 0.756 Pt
0.333 0.667 0.004 Pt
0.502 0.004 0.756 Pt
0.502 0.498 0.756 Pt
0.333 0.667 0.502 Pt
0.672 0.836 0.248 Pt
0.000 0.000 0.910 Y
0.667 0.333 0.070 Y
0.667 0.333 0.453 Y
```

=====

The following is a DFT calculation (PBE-GGA) of a relaxed YTl3Pt crystal.

Values from the calculation:
Raw total energy (eV/f.u.): -18.94
Excess energy over the best structure of this formula in the dataset (eV/atom): 0.000
ΔE_f (meV per atom): 132
Crystal system: cubic
M_tot (μB/f.u.): 0.00
Fermi-level density of states (states/eV/atom): 0.689
SG: Pm-3m (221)

Geometry as POSCAR:
```
YTl3Pt
1.0
5.303 0.000 0.000
0.000 5.303 0.000
0.000 0.000 5.303
Pt Tl Y
1 3 1
Direct
0.000 0.000 0.000 Pt
0.000 0.000 0.500 Tl
0.500 0.000 0.000 Tl
0.000 0.500 0.000 Tl
0.500 0.500 0.500 Y
```

=====

The following is a DFT calculation (PBE-GGA) of a relaxed Y4Tl3Pt crystal.

Values from the calculation:
Raw total energy (eV/f.u.): -43.70
ΔE_f (meV per atom): -589
Crystal system: tetragonal
M_tot (μB/f.u.): 0.00
Fermi-level density of states (states/eV/atom): 0.622
SG: P4/mmm (123)

Geometry as POSCAR:
```
Y4Tl3Pt
1.0
3.629 0.000 0.000
0.000 3.629 0.000
0.000 0.000 15.747
Tl Y Pt
3 4 1
Direct
0.500 0.500 0.240 Tl
0.500 0.500 0.500 Tl
0.500 0.500 0.760 Tl
0.000 0.000 0.895 Y
0.000 0.000 0.369 Y
0.000 0.000 0.631 Y
0.000 0.000 0.105 Y
0.500 0.500 0.000 Pt
```

=====

The following is a DFT calculation (PBE-GGA) of a relaxed YTl4Pt crystal.

Values from the calculation:
Raw total energy (eV/f.u.): -20.28
ΔE_f (meV per atom): 282
Crystal system: cubic
M_tot (μB/f.u.): 0.00
Fermi-level density of states (states/eV/atom): 0.705
SG: F-43m (216)

Geometry as POSCAR:
```
YTl4Pt
1.0
0.000 4.332 4.332
4.332 0.000 4.332
4.332 4.332 0.000
Tl Pt Y
4 1 1
Direct
0.375 0.375 0.876 Tl
0.876 0.375 0.375 Tl
0.375 0.876 0.375 Tl
0.375 0.375 0.375 Tl
0.000 0.000 0.000 Pt
0.750 0.750 0.750 Y
```

=====

The following is a DFT calculation (PBE-GGA) of a relaxed Y3TlPt crystal.

Values from the calculation:
Raw total energy (eV/f.u.): -29.90
Excess energy over the best structure of this formula in the dataset (eV/atom): 0.161
ΔE_f (meV per atom): -420
Crystal system: cubic
M_tot (μB/f.u.): 0.00
Fermi-level density of states (states/eV/atom): 2.282
SG: Pm-3m (221)

Geometry as POSCAR:
```
Y3TlPt
1.0
5.432 0.000 0.000
0.000 5.432 0.000
0.000 0.000 5.432
Y Tl Pt
3 1 1
Direct
0.500 0.000 0.000 Y
0.000 0.500 0.000 Y
0.000 0.000 0.500 Y
0.500 0.500 0.500 Tl
0.000 0.000 0.000 Pt
```

=====

The following is a DFT calculation (PBE-GGA) of a relaxed Y2Tl2Pt crystal.

Values from the calculation:
Raw total energy (eV/f.u.): -24.39
Excess energy over the best structure of this formula in the dataset (eV/atom): 0.275
ΔE_f (meV per atom): -139
Crystal system: tetragonal
M_tot (μB/f.u.): 0.00
Fermi-level density of states (states/eV/atom): 0.952
SG: I4/mmm (139)

Geometry as POSCAR:
```
Y2Tl2Pt
1.0
-1.345 -0.773 3.680
3.760 -0.221 1.327
1.092 7.990 4.243
Tl Pt Y
2 1 2
Direct
0.750 0.250 0.500 Tl
0.250 0.750 0.500 Tl
0.000 0.000 0.000 Pt
0.590 0.590 0.820 Y
0.410 0.410 0.180 Y
```

=====

What did the third record say?
The following is a DFT calculation (PBE-GGA) of a relaxed Y4Tl3Pt crystal.

Values from the calculation:
Raw total energy (eV/f.u.): -43.70
ΔE_f (meV per atom): -589
Crystal system: tetragonal
M_tot (μB/f.u.): 0.00
Fermi-level density of states (states/eV/atom): 0.622
SG: P4/mmm (123)

Geometry as POSCAR:
```
Y4Tl3Pt
1.0
3.629 0.000 0.000
0.000 3.629 0.000
0.000 0.000 15.747
Tl Y Pt
3 4 1
Direct
0.500 0.500 0.240 Tl
0.500 0.500 0.500 Tl
0.500 0.500 0.760 Tl
0.000 0.000 0.895 Y
0.000 0.000 0.369 Y
0.000 0.000 0.631 Y
0.000 0.000 0.105 Y
0.500 0.500 0.000 Pt
```